Record 1
The following is a DFT calculation (GGA-PBE) of crystalline Sr2LiYIr at its relaxed geometry.

Geometry as CIF:
```
data_Sr2LiYIr
_symmetry_space_group_name_H-M 'P 1'
_symmetry_Int_Tables_number 1
_cell_length_a 5.9486
_cell_length_b 5.9486
_cell_length_c 5.3519
_cell_angle_alpha 90.00
_cell_angle_beta 90.00
_cell_angle_gamma 90.00
loop_
_symmetry_equiv_pos_as_xyz
'x,y,z'
loop_
_atom_site_label
_atom_site_type_symbol
_atom_site_fract_x
_atom_site_fract_y
_atom_site_fract_z
Sr1 Sr 0.0000 0.5000 0.0000
Sr2 Sr 0.5000 0.0000 0.0000
Li1 Li 0.0000 0.0000 0.5000
Y1 Y 0.5000 0.5000 0.5000
Ir1 Ir 0.5000 0.5000 0.0000
```

size of the total moment: 0.0000 μB/atom
energy relative to the elements: -0.132 eV per atom



Record 2
The following is a DFT calculation (GGA-PBE) of crystalline ZrMo2Pb at its relaxed geometry.

Geometry as CIF:
```
data_ZrMo2Pb
_symmetry_space_group_name_H-M 'P 1'
_symmetry_Int_Tables_number 1
_cell_length_a 2.9233
_cell_length_b 2.9233
_cell_length_c 9.3654
_cell_angle_alpha 90.00
_cell_angle_beta 90.00
_cell_angle_gamma 90.00
loop_
_symmetry_equiv_pos_as_xyz
'x,y,z'
loop_
_atom_site_label
_atom_site_type_symbol
_atom_site_fract_x
_atom_site_fract_y
_atom_site_fract_z
Zr1 Zr 0.0000 0.0000 0.0000
Mo1 Mo 0.5000 0.5000 0.2459
Mo2 Mo 0.5000 0.5000 0.7541
Pb1 Pb 0.0000 0.0000 0.5000
```

size of the total moment: 0.0137 μB/atom
energy relative to the elements: 0.656 eV per atom



Record 3
The following is a DFT calculation (GGA-PBE) of crystalline ZnAgAs2 at its relaxed geometry.

Geometry as CIF:
```
data_ZnAgAs2
_symmetry_space_group_name_H-M 'P 1'
_symmetry_Int_Tables_number 1
_cell_length_a 5.3870
_cell_length_b 5.3870
_cell_length_c 5.3870
_cell_angle_alpha 136.06
_cell_angle_beta 136.06
_cell_angle_gamma 63.88
loop_
_symmetry_equiv_pos_as_xyz
'x,y,z'
loop_
_atom_site_label
_atom_site_type_symbol
_atom_site_fract_x
_atom_site_fract_y
_atom_site_fract_z
Zn1 Zn 0.0000 0.0000 0.0000
Ag1 Ag 0.2500 0.7500 0.5000
As1 As 0.5000 0.5000 0.0000
As2 As 0.7500 0.2500 0.5000
```

size of the total moment: 0.0000 μB/atom
energy relative to the elements: 0.258 eV per atom



Record 4
The following is a DFT calculation (GGA-PBE) of crystalline Cu2BiRu at its relaxed geometry.

Geometry as CIF:
```
data_Cu2BiRu
_symmetry_space_group_name_H-M 'P 1'
_symmetry_Int_Tables_number 1
_cell_length_a 9.8895
_cell_length_b 9.8895
_cell_length_c 9.8895
_cell_angle_alpha 157.56
_cell_angle_beta 157.56
_cell_angle_gamma 31.95
loop_
_symmetry_equiv_pos_as_xyz
'x,y,z'
loop_
_atom_site_label
_atom_site_type_symbol
_atom_site_fract_x
_atom_site_fract_y
_atom_site_fract_z
Cu1 Cu 0.0830 0.6250 0.9580
Cu2 Cu 0.3750 0.3330 0.4580
Cu3 Cu 0.6670 0.1250 0.0420
Cu4 Cu 0.8750 0.9170 0.5420
Bi1 Bi 0.2500 0.7500 0.5000
Bi2 Bi 0.5000 0.5000 0.0000
Ru1 Ru 0.0000 0.0000 0.0000
Ru2 Ru 0.7500 0.2500 0.5000
```

size of the total moment: 0.0000 μB/atom
energy relative to the elements: 0.571 eV per atom